Computed, not measured: crystalline RbTl2N at its relaxed geometry at the PBE level of DFT.

The structure in POSCAR format:
```
RbTl2N
1.0
3.250 -0.300 4.231
-1.905 0.936 4.904
-0.511 -4.022 3.481
Tl Rb N
2 1 1
Direct
0.250 0.250 0.250
0.750 0.750 0.750
0.500 0.500 0.500
0.000 0.000 0.000
```

Calculated values
- VASP energy: -2.52 eV per atom
- Space-group type: Fm-3m
- Magnetization: 0.000 Bohr magnetons per cell
- DOS(E_F): 0.007 states/eV per atom
- ΔE to the lowest computed polymorph: 0.496 eV per atom
- Raw formation energy: 0.991 eV per atom